Entry from Alexandria: crystalline KAgCl3 at its relaxed geometry (GGA-PBE).

Output
ΔE_f (raw): -0.764 eV/atom

Unit cell a=5.010 b=5.010 c=8.006 alpha=90.00 beta=90.00 gamma=90.00
Positions (direct):
K 0.000 0.000 0.177
Ag 0.500 0.500 0.454
Cl 0.000 0.000 0.811
Cl 0.500 0.000 0.411
Cl 0.000 0.500 0.411


Entry from Alexandria: crystalline LaPm7Y12 at its relaxed geometry (GGA-PBE).

Output
E_form: 0.213 eV per atom
ΔE to the lowest computed polymorph: 0.000 kcal/mol of atoms

Unit cell a=8.806 b=8.806 c=8.806 alpha=89.01 beta=89.01 gamma=89.01
Positions (direct):
La 0.000 0.000 0.000
Pm 0.999 0.641 0.118
Pm 0.359 0.882 0.001
Pm 0.882 0.001 0.359
Pm 0.500 0.500 0.500
Pm 0.118 0.999 0.641
Pm 0.641 0.118 0.999
Pm 0.001 0.359 0.882
Y 0.763 0.223 0.633
Y 0.777 0.367 0.237
Y 0.445 0.116 0.345
Y 0.884 0.655 0.555
Y 0.367 0.237 0.777
Y 0.655 0.555 0.884
Y 0.345 0.445 0.116
Y 0.633 0.763 0.223
Y 0.116 0.345 0.445
Y 0.555 0.884 0.655
Y 0.223 0.633 0.763
Y 0.237 0.777 0.367


Entry from Alexandria: crystalline Co3TeAs at its relaxed geometry (GGA-PBE).

Output
ΔE_f (raw): 0.595 eV/atom
ΔE to the lowest computed polymorph: 0.000 kcal/mol of atoms

Unit cell a=4.378 b=4.378 c=4.378 alpha=90.00 beta=90.00 gamma=90.00
Positions (direct):
As 0.000 0.000 0.000
Te 0.500 0.500 0.500
Co 0.000 0.500 0.000
Co 0.000 0.000 0.500
Co 0.500 0.000 0.000


Entry from Alexandria: crystalline Y2Mg3Cu7 at its relaxed geometry (GGA-PBE).

Output
E_form: 0.066 eV per atom

Unit cell a=8.675 b=8.675 c=8.675 alpha=37.46 beta=37.46 gamma=37.46
Positions (direct):
Y 0.343 0.343 0.343
Y 0.657 0.657 0.657
Mg 0.000 0.000 0.000
Mg 0.130 0.130 0.130
Mg 0.870 0.870 0.870
Cu 0.500 0.500 0.500
Cu 0.618 0.063 0.618
Cu 0.618 0.618 0.063
Cu 0.063 0.618 0.618
Cu 0.382 0.937 0.382
Cu 0.937 0.382 0.382
Cu 0.382 0.382 0.937


Entry from Alexandria: crystalline Rb2InBSe at its relaxed geometry (GGA-PBE).

Output
ΔE_f (raw): 0.403 eV/atom

Unit cell a=6.747 b=4.190 c=6.747 alpha=90.00 beta=90.00 gamma=90.00
Positions (direct):
B 0.000 0.000 0.000
Se 0.000 0.500 0.000
Rb 0.000 0.000 0.500
Rb 0.500 0.000 0.000
In 0.500 0.500 0.500


Entry from Alexandria: crystalline ScTl2In at its relaxed geometry (GGA-PBE).

Output
E_form: -0.048 eV per atom

Unit cell a=3.516 b=4.476 c=6.531 alpha=90.00 beta=90.00 gamma=90.00
Positions (direct):
In 0.500 0.500 0.250
Sc 0.500 0.500 0.750
Tl 0.000 0.000 0.991
Tl 0.000 0.000 0.509


Entry from Alexandria: crystalline HfGeHF2 at its relaxed geometry (GGA-PBE).

Unit cell a=4.140 b=3.700 c=4.140 alpha=90.00 beta=90.00 gamma=90.00
Positions (direct):
H 0.000 0.000 0.000
Ge 0.500 0.500 0.500
Hf 0.000 0.500 0.000
F 0.000 0.000 0.500
F 0.500 0.000 0.000


Entry from Alexandria: crystalline NbCoSeBr2 at its relaxed geometry (GGA-PBE).

Output
ΔE_f (raw): 0.463 eV/atom
ΔE to the lowest computed polymorph: 0.000 kcal/mol of atoms

Unit cell a=5.236 b=5.236 c=5.040 alpha=90.00 beta=90.00 gamma=90.00
Positions (direct):
Nb 0.000 0.000 0.000
Co 0.500 0.500 0.500
Se 0.000 0.000 0.500
Br 0.000 0.500 0.000
Br 0.500 0.000 0.000


no.,raw total energy (eV per atom),V (Å³/f.u.)
1,-2.6613,201.0
2,-5.5741,682.6
3,-5.2271,83.9
4,-3.7992,216.5
5,-2.5639,190.7
6,-3.4988,102.8
7,-5.1320,63.4
8,-4.3387,138.2